No. 1
Entry from Alexandria: crystalline TcC2O at its relaxed geometry (PBE).

Lattice parameters (Å, degrees): 4.4392 4.4392 5.4457 65.95 65.95 90.00
With the nearest neighbours (Å) after each atom.
Fractional positions:
C: 0.8750 0.8690 0.7500  2 O 1.91, 2 Tc 1.94
C: 0.1310 0.6250 0.2500  2 O 1.91, 2 Tc 1.94
C: 0.6190 0.1250 0.2500  2 O 1.91, 2 Tc 1.94
C: 0.3750 0.3810 0.7500  2 O 1.91, 2 Tc 1.94
Tc: 0.7500 0.2500 0.5000  4 C 1.94
Tc: 0.0000 0.0000 0.0000  4 C 1.94
O: 0.5000 0.5000 0.0000  4 C 1.91
O: 0.2500 0.7500 0.5000  4 C 1.91

E (eV/atom): -7.1302
Uncorrected formation energy (kJ/mol of atoms): 126.7


No. 2
Entry from Alexandria: crystalline Th5C4O at its relaxed geometry (PBE).

Lattice parameters (Å, degrees): 3.7767 5.2798 9.9789 105.34 100.91 90.00
With the nearest neighbours (Å) after each atom.
Fractional positions:
Th: 0.0000 0.5000 0.0000  4 C 2.62, 2 O 2.64
Th: 0.7995 0.2995 0.5989  6 C 2.64-2.74
Th: 0.6027 0.1027 0.2054  4 C 2.56-2.64, 2 O 2.71
Th: 0.3973 0.8973 0.7946  4 C 2.56-2.64, 2 O 2.71
Th: 0.2005 0.7005 0.4011  6 C 2.64-2.74
C: 0.8060 0.8060 0.6121  6 Th 2.56-2.74
C: 0.1940 0.1940 0.3879  6 Th 2.56-2.74
C: 0.5960 0.5960 0.1920  6 Th 2.62-2.73
C: 0.4040 0.4040 0.8080  6 Th 2.62-2.73
O: 0.0000 0.0000 0.0000  6 Th 2.64-2.71

E (eV/atom): -8.7279
Uncorrected formation energy (kJ/mol of atoms): -80.3


No. 3
Entry from Alexandria: crystalline Th4C3O2 at its relaxed geometry (PBE).

Lattice parameters (Å, degrees): 6.2525 7.3892 7.3892 76.32 89.45 89.45
With the nearest neighbours (Å) after each atom.
Fractional positions:
C: 0.0861 0.2424 0.9858  4 Th 2.53-2.64
C: 0.4139 0.0142 0.7576  4 Th 2.53-2.64
C: 0.5861 0.9858 0.2424  4 Th 2.53-2.64
C: 0.7500 0.4079 0.5921  4 Th 2.50-2.77
C: 0.9139 0.7576 0.0142  4 Th 2.53-2.64
C: 0.2500 0.5921 0.4079  4 Th 2.50-2.77
Th: 0.4978 0.2509 0.9439  2 O 2.40-2.42, 3 C 2.53-2.64
Th: 0.0365 0.5521 0.7444  2 O 2.34-2.37, 2 C 2.50-2.57
Th: 0.9635 0.4479 0.2556  2 O 2.34-2.37, 2 C 2.50-2.57
Th: 0.0022 0.0561 0.7491  2 O 2.40-2.42, 3 C 2.53-2.64
Th: 0.5022 0.7491 0.0561  2 O 2.40-2.42, 3 C 2.53-2.64
Th: 0.9978 0.9439 0.2509  2 O 2.40-2.42, 3 C 2.53-2.64
Th: 0.4635 0.2556 0.4479  2 O 2.34-2.37, 2 C 2.50-2.57
Th: 0.5365 0.7444 0.5521  2 O 2.34-2.37, 2 C 2.50-2.57
O: 0.3959 0.5719 0.8352  4 Th 2.34-2.42
O: 0.6041 0.4281 0.1648  4 Th 2.34-2.42
O: 0.8959 0.8352 0.5719  4 Th 2.34-2.42
O: 0.1041 0.1648 0.4281  4 Th 2.34-2.42

E (eV/atom): -8.7334
Uncorrected formation energy (kJ/mol of atoms): -121.5


No. 4
Entry from Alexandria: crystalline Th8C6O at its relaxed geometry (PBE).

Lattice parameters (Å, degrees): 3.8462 9.6079 9.6079 120.00 90.00 90.00
With the nearest neighbours (Å) after each atom.
Fractional positions:
C: 0.7527 0.8680 0.5221  6 Th 2.49-2.70
C: 0.7527 0.4779 0.3459  6 Th 2.49-2.70
C: 0.2473 0.5221 0.6541  6 Th 2.49-2.70
C: 0.2473 0.3459 0.8680  6 Th 2.49-2.70
C: 0.7527 0.6541 0.1320  6 Th 2.49-2.70
C: 0.2473 0.1320 0.4779  6 Th 2.49-2.70
Th: 0.7429 0.6883 0.6535  4 C 2.49-2.62
Th: 0.7429 0.9652 0.3117  4 C 2.49-2.62
Th: 0.7429 0.3465 0.0348  4 C 2.49-2.62
Th: 0.2571 0.3117 0.3465  4 C 2.49-2.62
Th: 0.7512 0.3333 0.6667  6 C 2.68-2.70
Th: 0.2571 0.6535 0.9652  4 C 2.49-2.62
Th: 0.2488 0.6667 0.3333  6 C 2.68-2.70
Th: 0.2571 0.0348 0.6883  4 C 2.49-2.62
O: 0.5000 0.0000 0.0000  6 Th 3.31

E (eV/atom): -8.2522
Uncorrected formation energy (kJ/mol of atoms): -26.5


No. 5
Entry from Alexandria: crystalline Ti3C2O at its relaxed geometry (PBE).

Lattice parameters (Å, degrees): 3.0152 5.3619 9.3389 90.00 90.00 106.33
With the nearest neighbours (Å) after each atom.
Fractional positions:
O: 0.7686 0.5372 0.7500  2 Ti 2.18
O: 0.2314 0.4628 0.2500  2 Ti 2.18
C: 0.5017 0.0034 0.2500  4 Ti 1.92-1.93
C: 0.0000 0.0000 0.5000  4 Ti 2.09
C: 0.4983 0.9966 0.7500  4 Ti 1.92-1.93
C: 0.0000 0.0000 0.0000  4 Ti 2.09
Ti: 0.6162 0.2324 0.0874  3 C 1.92-2.09
Ti: 0.3838 0.7676 0.9126  3 C 1.92-2.09
Ti: 0.8842 0.7684 0.2500  2 C 1.93
Ti: 0.1158 0.2316 0.7500  2 C 1.93
Ti: 0.6162 0.2324 0.4126  3 C 1.92-2.09
Ti: 0.3838 0.7676 0.5874  3 C 1.92-2.09

E (eV/atom): -8.5240
Uncorrected formation energy (kJ/mol of atoms): -65.2


No. 6
Entry from Alexandria: crystalline Ti8C3O4 at its relaxed geometry (PBE).

Lattice parameters (Å, degrees): 6.0998 6.0998 6.3747 61.42 61.42 60.00
With the nearest neighbours (Å) after each atom.
Fractional positions:
Ti: 0.2375 0.7435 0.2755  3 O 2.10-2.27, 2 C 2.12
Ti: 0.2565 0.2565 0.7245  3 O 2.10-2.27, 2 C 2.12
Ti: 0.7435 0.2375 0.2755  3 O 2.10-2.27, 2 C 2.12
Ti: 0.7622 0.7622 0.7134  1 O 1.87, 3 C 2.09
Ti: 0.7435 0.7435 0.2755  3 O 2.10-2.27, 2 C 2.12
Ti: 0.2565 0.7625 0.7245  3 O 2.10-2.27, 2 C 2.12
Ti: 0.2378 0.2378 0.2866  1 O 1.87, 3 C 2.09
Ti: 0.7625 0.2565 0.7245  3 O 2.10-2.27, 2 C 2.12
O: 0.6447 0.6447 0.0658  1 Ti 1.87
O: 0.0000 0.0000 0.0000  6 Ti 2.27
O: 0.5000 0.5000 0.5000  6 Ti 2.14, 2 O 2.31
O: 0.3553 0.3553 0.9342  1 Ti 1.87
C: 0.0000 0.0000 0.5000  6 Ti 2.09-2.12
C: 0.5000 0.0000 0.5000  6 Ti 2.09-2.12
C: 0.0000 0.5000 0.5000  6 Ti 2.09-2.12

E (eV/atom): -8.9676
Uncorrected formation energy (kJ/mol of atoms): -153.4


No. 7
Entry from Alexandria: crystalline TiCO2 at its relaxed geometry (PBE).

Lattice parameters (Å, degrees): 6.0578 6.0578 6.0578 27.07 27.07 27.07
With the nearest neighbours (Å) after each atom.
Fractional positions:
O: 0.8920 0.8920 0.8920  1 Ti 1.89, 3 C 1.93
O: 0.1080 0.1080 0.1080  1 Ti 1.89, 3 C 1.93
C: 0.5000 0.5000 0.5000  6 O 1.93
Ti: 0.0000 0.0000 0.0000  2 O 1.89

E (eV/atom): -6.3384
Uncorrected formation energy (kJ/mol of atoms): 40.6


No. 8
Entry from Alexandria: crystalline Ti6CO at its relaxed geometry (PBE).

Lattice parameters (Å, degrees): 5.1640 5.1697 5.1543 120.10 98.45 72.97
With the nearest neighbours (Å) after each atom.
Fractional positions:
Ti: 0.2493 0.2513 0.0000  1 C 2.07, 1 O 2.08
Ti: 0.2521 0.5908 0.6797  1 C 2.09, 1 O 2.10
Ti: 0.7507 0.7487 0.0000  1 C 2.07, 1 O 2.08
Ti: 0.7479 0.0889 0.6797  1 C 2.09, 1 O 2.10
Ti: 0.2521 0.9111 0.3203  1 C 2.09, 1 O 2.10
Ti: 0.7479 0.4092 0.3203  1 C 2.09, 1 O 2.10
O: 0.0000 0.0000 0.0000  6 Ti 2.08-2.10
C: 0.5000 0.5000 0.0000  6 Ti 2.07-2.09

Relative energy among the computed polymorphs (meV/atom): 18
E (eV/atom): -8.5858
Uncorrected formation energy (kJ/mol of atoms): -86.1


No. 9
Entry from Alexandria: crystalline Ti6C2O at its relaxed geometry (PBE).

Lattice parameters (Å, degrees): 4.0866 5.3505 6.6627 112.95 90.00 112.45
With the nearest neighbours (Å) after each atom.
Fractional positions:
O: 0.0000 0.0000 0.5000  2 Ti 1.95
C: 0.1762 0.3524 0.0916  6 Ti 2.05-2.15
C: 0.8238 0.6476 0.9084  6 Ti 2.05-2.15
Ti: 0.3254 0.6509 0.9333  3 C 2.05-2.15
Ti: 0.6529 0.3057 0.5824  1 C 2.12
Ti: 0.0166 0.0332 0.2190  1 O 1.95, 2 C 2.08-2.14
Ti: 0.6746 0.3491 0.0667  3 C 2.05-2.15
Ti: 0.3471 0.6943 0.4176  1 C 2.12
Ti: 0.9834 0.9668 0.7810  1 O 1.95, 2 C 2.08-2.14

Relative energy among the computed polymorphs (meV/atom): 282
E (eV/atom): -8.6423
Uncorrected formation energy (kJ/mol of atoms): -75.1


No. 10
Entry from Alexandria: crystalline TiCO2 at its relaxed geometry (PBE).

Lattice parameters (Å, degrees): 5.8080 5.8080 5.8080 26.73 26.73 26.73
With the nearest neighbours (Å) after each atom.
Fractional positions:
O: 0.9217 0.9217 0.9217  1 C 1.32
O: 0.0783 0.0783 0.0783  1 C 1.32
Ti: 0.5000 0.5000 0.5000  6 O 2.15
C: 0.0000 0.0000 0.0000  2 O 1.32

E (eV/atom): -7.2015
Uncorrected formation energy (kJ/mol of atoms): -42.7